First-principles (PBE) data for a relaxed structure of BaNaCaZn, as listed in the Alexandria database.

Total DFT energy (no corrections): -6.6 eV per cell
Distance to the lowest polymorph of the same formula: 0.071 eV/atom
Energy relative to the elements: -0.0188 eV per atom
Mass density: 3.153 Mg/m³
Space-group type: F-43m

abc: 5.8281 5.8281 5.8281
angles: 60.00 60.00 60.00
Fractional positions:
Ba: 0.0000 0.0000 0.0000
Na: 0.2500 0.2500 0.2500
Ca: 0.5000 0.5000 0.5000
Zn: 0.7500 0.7500 0.7500

---

First-principles (PBE) data for a relaxed structure of CeYHoTh, as listed in the Alexandria database.

Total DFT energy (no corrections): -24.3 eV per cell
Distance to the lowest polymorph of the same formula: 0.000 eV/atom
Energy relative to the elements: 0.0268 eV per atom
Mass density: 8.373 Mg/m³
Space-group type: R3m

abc: 11.5614 11.5614 11.5614
angles: 17.66 17.66 17.66
Fractional positions:
Ce: 0.0000 0.0000 0.0000
Y: 0.1680 0.1680 0.1680
Ho: 0.4165 0.4165 0.4165
Th: 0.5857 0.5857 0.5857

---

- Which of these has the highest energy relative to the elements?
  CeYHoTh